[1]
First-principles (PBE-GGA) data for an optimized crystal structure of Nd3HoTm6, as listed in Alexandria via LeMat-Bulk.

```
10
Lattice="6.488 0.000 0.000 3.213 5.648 0.000 3.191 -1.789 8.735" Properties=species:S:1:pos:R:3 pbc="T T T"
Nd 0.000 0.000 0.000
Nd 5.935 1.904 6.033
Nd 6.957 1.955 2.702
Ho 3.202 1.929 4.368
Tm 4.604 4.339 2.750
Tm 3.273 1.878 0.453
Tm 8.281 4.361 5.987
Tm 4.610 -0.502 2.749
Tm 9.618 1.981 8.282
Tm 8.287 -0.480 5.985
```

Properties
* calculated total energy: -44.04 eV/cell
* SG: No. 2
* ΔE_f: 0.167 eV per atom
* volume: 320.1 Å³ per cell



[2]
First-principles (PBE-GGA) data for an optimized crystal structure of SmMg3Hg2, as listed in Alexandria via LeMat-Bulk.

```
12
Lattice="8.389 -2.366 0.000 8.389 2.366 0.000 -2.948 0.000 7.238" Properties=species:S:1:pos:R:3 pbc="T T T"
Sm 1.478 0.000 1.341
Sm 12.352 0.000 5.896
Mg -0.950 0.000 5.084
Mg 4.912 0.000 0.556
Mg 4.695 0.000 3.581
Mg 9.135 0.000 3.657
Mg 8.918 0.000 6.682
Mg 14.781 0.000 2.154
Hg 1.923 0.000 4.903
Hg 7.637 0.000 1.265
Hg 6.193 0.000 5.973
Hg 11.907 0.000 2.335
```

Properties
* calculated total energy: -23.49 eV/cell
* SG: No. 12
* ΔE_f: -0.273 eV per atom
* volume: 287.3 Å³ per cell



Q: Number 1 is which compound?
A: Nd3HoTm6



Q: Look up the calculated total energy of the first one.
A: -44.04 eV/cell



What did the second record say?
First-principles (PBE-GGA) data for an optimized crystal structure of SmMg3Hg2, as listed in Alexandria via LeMat-Bulk.

```
12
Lattice="8.389 -2.366 0.000 8.389 2.366 0.000 -2.948 0.000 7.238" Properties=species:S:1:pos:R:3 pbc="T T T"
Sm 1.478 0.000 1.341
Sm 12.352 0.000 5.896
Mg -0.950 0.000 5.084
Mg 4.912 0.000 0.556
Mg 4.695 0.000 3.581
Mg 9.135 0.000 3.657
Mg 8.918 0.000 6.682
Mg 14.781 0.000 2.154
Hg 1.923 0.000 4.903
Hg 7.637 0.000 1.265
Hg 6.193 0.000 5.973
Hg 11.907 0.000 2.335
```

Properties
* calculated total energy: -23.49 eV/cell
* SG: No. 12
* ΔE_f: -0.273 eV per atom
* volume: 287.3 Å³ per cell



Q: The lowest volume belongs to which entry?
A: SmMg3Hg2